# 1
First-principles (GGA-PBE) data for crystalline Mg3ScZn4 at its relaxed geometry, as listed in Alexandria.

Computed properties:
For the formation energy, the calculation gives -0.17 eV/atom. As for the space-group type: I4/mmm (139). The mass density is 4.36 Mg/m³. As for the total energy: -2.201 eV/atom.

Cell lengths 4.691, 4.691, 7.353 Å; angles 108.62, 108.60, 90.00 degrees
Sites, in units of the cell vectors:
Sc: 0.500 0.000 0.000
Mg: 0.000 0.500 0.000
Mg: 0.748 0.248 0.495
Mg: 0.252 0.752 0.505
Zn: 0.375 0.375 0.750
Zn: 0.625 0.625 0.250
Zn: 0.125 0.125 0.250
Zn: 0.875 0.875 0.750



# 2
First-principles (GGA-PBE) data for crystalline NdEuHgRu at its relaxed geometry, as listed in Alexandria.

Computed properties:
For the formation energy, the calculation gives -0.15 eV/atom. As for the space-group type: F-43m (216). The mass density is 10.08 Mg/m³. As for the total energy: -6.307 eV/atom.

Cell lengths 5.183, 5.183, 5.183 Å; angles 60.00, 60.00, 60.00 degrees
Each line ends with the local moment (μB).
Sites, in units of the cell vectors:
Eu: 0.500 0.500 0.500  6.80
Ru: 0.750 0.750 0.750  -0.29
Nd: 0.000 0.000 0.000  0.07
Hg: 0.250 0.250 0.250  0.03



# 3
First-principles (GGA-PBE) data for crystalline PuMg3Rh2 at its relaxed geometry, as listed in Alexandria.

Computed properties:
For the formation energy, the calculation gives -0.34 eV/atom. As for the space-group type: C2/m (12). The mass density is 7.21 Mg/m³. As for the total energy: -5.976 eV/atom.

Cell lengths 4.074, 7.834, 8.570 Å; angles 113.34, 90.00, 105.07 degrees
Each line ends with the local moment (μB).
Sites, in units of the cell vectors:
Pu: 0.123 0.246 0.160  4.99
Pu: 0.877 0.754 0.840  4.99
Mg: 0.680 0.360 0.898  0.00
Mg: 0.047 0.094 0.687  0.00
Mg: 0.345 0.690 0.502  0.01
Mg: 0.655 0.310 0.498  0.01
Mg: 0.953 0.906 0.313  0.00
Mg: 0.320 0.640 0.102  0.00
Rh: 0.490 0.979 0.836  -0.18
Rh: 0.510 0.021 0.164  -0.18
Rh: 0.243 0.485 0.742  -0.15
Rh: 0.757 0.515 0.258  -0.15



# 4
First-principles (GGA-PBE) data for crystalline Li3Ac2HgF12 at its relaxed geometry, as listed in Alexandria.

Computed properties:
The energy relative to the elements, uncorrected is -2929.2 meV per atom. As for the space-group type: R-3m (166). The mass density is 6.08 Mg/m³. As for the total energy: -4.969 eV/atom.

Cell lengths 7.641, 7.641, 7.641 Å; angles 50.77, 50.77, 50.77 degrees
Each line ends with the local moment (μB).
Sites, in units of the cell vectors:
Li: 0.500 0.000 0.000  0.00
Li: 0.000 0.500 0.000  0.00
Li: 0.000 0.000 0.500  0.00
Ac: 0.604 0.604 0.604  0.00
Ac: 0.396 0.396 0.396  0.00
Hg: 0.000 0.000 0.000  0.14
F: 0.277 0.277 0.827  0.04
F: 0.840 0.840 0.427  0.12
F: 0.427 0.840 0.840  0.12
F: 0.827 0.277 0.277  0.04
F: 0.840 0.427 0.840  0.12
F: 0.277 0.827 0.277  0.04
F: 0.723 0.723 0.173  0.04
F: 0.160 0.160 0.573  0.12
F: 0.573 0.160 0.160  0.12
F: 0.173 0.723 0.723  0.04
F: 0.160 0.573 0.160  0.12
F: 0.723 0.173 0.723  0.04



# 5
First-principles (GGA-PBE) data for crystalline TbPmSnSe at its relaxed geometry, as listed in Alexandria.

Computed properties:
The energy relative to the elements, uncorrected is -1262.2 meV per atom. As for the space-group type: P4/mmm (123). The mass density is 7.31 Mg/m³. As for the total energy: -5.479 eV/atom.

Cell lengths 4.328, 4.332, 6.081 Å; angles 90.01, 90.00, 90.00 degrees
Sites, in units of the cell vectors:
Tb: 0.500 0.392 0.092
Pm: 0.000 0.891 0.592
Sn: 0.500 0.391 0.592
Se: 0.000 0.892 0.092



# 6
First-principles (GGA-PBE) data for crystalline Sc5Hg2RuRh2 at its relaxed geometry, as listed in Alexandria.

Computed properties:
For the formation energy, the calculation gives -0.54 eV/atom. As for the space-group type: P4/mbm (127). The mass density is 7.76 Mg/m³. As for the total energy: -6.161 eV/atom.

Cell lengths 3.261, 11.061, 11.061 Å; angles 90.00, 90.00, 90.00 degrees
Sites, in units of the cell vectors:
Sc: 0.500 0.190 0.072
Sc: 0.500 0.810 0.928
Sc: 0.500 0.072 0.810
Sc: 0.500 0.690 0.428
Sc: 0.500 0.928 0.190
Sc: 0.500 0.310 0.572
Sc: 0.500 0.572 0.690
Sc: 0.500 0.428 0.310
Sc: 0.500 0.500 0.000
Sc: 0.500 0.000 0.500
Hg: 0.000 0.673 0.173
Hg: 0.000 0.327 0.827
Hg: 0.000 0.173 0.327
Hg: 0.000 0.827 0.673
Ru: 0.000 0.000 0.000
Ru: 0.000 0.500 0.500
Rh: 0.000 0.133 0.633
Rh: 0.000 0.867 0.367
Rh: 0.000 0.633 0.867
Rh: 0.000 0.367 0.133



# 7
First-principles (GGA-PBE) data for crystalline Cs2FeNiS4 at its relaxed geometry, as listed in Alexandria.

Computed properties:
The energy relative to the elements, uncorrected is -760.5 meV per atom. As for the space-group type: Fddd (70). The mass density is 3.61 Mg/m³. As for the total energy: -4.818 eV/atom.

Cell lengths 5.421, 7.538, 12.564 Å; angles 85.55, 77.54, 68.93 degrees
Each line ends with the local moment (μB).
Sites, in units of the cell vectors:
Cs: 0.177 0.000 0.645  0.01
Cs: 0.823 0.000 0.355  0.01
Cs: 0.573 0.500 0.855  0.01
Cs: 0.927 0.500 0.145  0.01
Fe: 0.250 0.500 0.500  2.48
Fe: 0.500 0.000 0.000  2.48
Ni: 0.750 0.500 0.500  -0.59
Ni: 0.000 0.000 0.000  -0.59
S: 0.292 0.826 0.099  -0.01
S: 0.217 0.174 0.901  -0.01
S: 0.882 0.826 0.901  -0.01
S: 0.609 0.174 0.099  -0.01
S: 0.458 0.674 0.401  -0.01
S: 0.533 0.326 0.599  -0.01
S: 0.868 0.674 0.599  -0.01
S: 0.141 0.326 0.401  -0.01



# 8
First-principles (GGA-PBE) data for crystalline CoTePt2S at its relaxed geometry, as listed in Alexandria.

Computed properties:
The energy relative to the elements, uncorrected is 471.0 meV per atom. As for the space-group type: P4/mmm (123). The mass density is 10.80 Mg/m³. As for the total energy: -4.820 eV/atom.

Cell lengths 4.901, 3.899, 4.901 Å; angles 90.00, 90.00, 90.00 degrees
Each line ends with the local moment (μB).
Sites, in units of the cell vectors:
S: 0.000 0.500 0.000  0.00
Te: 0.500 0.500 0.500  -0.01
Co: 0.000 0.000 0.000  0.56
Pt: 0.000 0.000 0.500  0.09
Pt: 0.500 0.000 0.000  0.04



# 9
First-principles (GGA-PBE) data for crystalline NaNd2GaS5 at its relaxed geometry, as listed in Alexandria.

Computed properties:
The energy relative to the elements, uncorrected is -1525.9 meV per atom. As for the space-group type: Cmc2_1 (36). The mass density is 4.55 Mg/m³. As for the total energy: -5.361 eV/atom.

Cell lengths 3.895, 8.957, 11.616 Å; angles 90.00, 90.00, 102.56 degrees
Sites, in units of the cell vectors:
Na: 0.791 0.582 0.515
Na: 0.209 0.418 0.015
Nd: 0.867 0.735 0.809
Nd: 0.117 0.234 0.682
Nd: 0.133 0.265 0.309
Nd: 0.883 0.766 0.182
Ga: 0.560 0.119 0.947
Ga: 0.440 0.881 0.447
S: 0.363 0.726 0.002
S: 0.675 0.349 0.850
S: 0.495 0.990 0.775
S: 0.289 0.578 0.686
S: 0.958 0.916 0.557
S: 0.637 0.274 0.502
S: 0.325 0.651 0.350
S: 0.505 0.010 0.275
S: 0.711 0.422 0.186
S: 0.042 0.084 0.057



# 10
First-principles (GGA-PBE) data for crystalline ZnOsRh at its relaxed geometry, as listed in Alexandria.

Computed properties:
For the formation energy, the calculation gives 0.01 eV/atom. As for the space-group type: P-6m2 (187). The mass density is 14.01 Mg/m³. The calculation puts the energy relative to the lowest polymorph listed for this composition at 0.003 eV per formula unit. As for the total energy: -6.608 eV/atom.

Cell lengths 2.742, 2.742, 13.051 Å; angles 90.00, 90.00, 120.00 degrees
Sites, in units of the cell vectors:
Os: 0.611 0.222 0.000
Os: 0.278 0.556 0.500
Rh: 0.611 0.222 0.334
Rh: 0.611 0.222 0.666
Zn: 0.278 0.555 0.832
Zn: 0.278 0.555 0.168



# 11
First-principles (GGA-PBE) data for crystalline Cr2Ga2W at its relaxed geometry, as listed in Alexandria.

Computed properties:
For the formation energy, the calculation gives 0.21 eV/atom. As for the space-group type: P4/mbm (127). The mass density is 10.15 Mg/m³. The calculation puts the energy relative to the lowest polymorph listed for this composition at 0.000 eV per formula unit. As for the total energy: -7.437 eV/atom.

Cell lengths 6.796, 6.796, 3.027 Å; angles 90.00, 90.00, 90.00 degrees
Each line ends with the local moment (μB).
Sites, in units of the cell vectors:
Cr: 0.170 0.670 0.500  1.45
Cr: 0.670 0.830 0.500  1.42
Cr: 0.830 0.330 0.500  1.45
Cr: 0.330 0.170 0.500  1.42
Ga: 0.370 0.870 0.000  -0.06
Ga: 0.870 0.630 0.000  -0.06
Ga: 0.630 0.130 0.000  -0.06
Ga: 0.130 0.370 0.000  -0.06
W: 0.000 0.000 0.000  -0.33
W: 0.500 0.500 0.000  -0.32



# 12
First-principles (GGA-PBE) data for crystalline KRbPt3 at its relaxed geometry, as listed in Alexandria.

Computed properties:
For the formation energy, the calculation gives 1.58 eV/atom. As for the space-group type: Pm-3m (221). The mass density is 7.80 Mg/m³. The calculation puts the energy relative to the lowest polymorph listed for this composition at 7.137 eV per formula unit. As for the total energy: -2.458 eV/atom.

Cell lengths 5.326, 5.326, 5.326 Å; angles 90.00, 90.00, 90.00 degrees
Sites, in units of the cell vectors:
K: 0.500 0.500 0.500
Rb: 0.000 0.000 0.000
Pt: 0.000 0.500 0.000
Pt: 0.000 0.000 0.500
Pt: 0.500 0.000 0.000